# Zr3CuRu | Alexandria | PBE | relaxed
# relative energy among the computed polymorphs = 79.73 kJ/mol of atoms
# calculated total energy = -7.275 eV/atom
# V = 24.84 Å³/atom
# energy of formation = 0.528 eV per atom
# density = 5.859 g cm⁻³
data_Zr3CuRu
_cell_length_a 4.990
_cell_length_b 4.990
_cell_length_c 4.990
_cell_angle_alpha 90.00
_cell_angle_beta 90.00
_cell_angle_gamma 90.00
_symmetry_space_group_name_H-M 'P m -3 m'
_symmetry_Int_Tables_number 221
_symmetry_space_group_name_Hall '-P 4 2 3'
loop_
_atom_site_label
_atom_site_fract_x
_atom_site_fract_y
_atom_site_fract_z
Zr1 0.000 0.000 0.500
Cu1 0.500 0.500 0.500
Ru1 0.000 0.000 0.000